V2P2O9 | PBE+U | relaxed

Values from the calculation:
The value obtained for the total energy is -388.96 eV for the cell shown. As for the magnetic moment: 8.00 μB per cell. The calculation puts the excess energy over the best structure of this formula in the dataset at 0.017 eV/atom. Its space-group type is Pnma (62).

Cell: 13.779 6.383 7.812 Å, 90.00 90.00 90.00°
Element x y z (fractional)
V (0.000, 0.000, 0.000)
V (0.000, 0.500, 0.000)
V (0.119, 0.250, 0.349)
V (0.381, 0.750, 0.849)
V (0.500, 0.000, 0.500)
V (0.500, 0.500, 0.500)
V (0.619, 0.250, 0.151)
V (0.881, 0.750, 0.651)
P (0.061, 0.750, 0.349)
P (0.195, 0.750, 0.910)
P (0.305, 0.250, 0.410)
P (0.439, 0.250, 0.849)
P (0.561, 0.750, 0.151)
P (0.695, 0.750, 0.590)
P (0.805, 0.250, 0.090)
P (0.939, 0.250, 0.651)
O (0.010, 0.750, 0.164)
O (0.019, 0.250, 0.515)
O (0.046, 0.250, 0.140)
O (0.123, 0.555, 0.358)
O (0.123, 0.945, 0.358)
O (0.126, 0.555, 0.924)
O (0.126, 0.945, 0.924)
O (0.224, 0.250, 0.543)
O (0.247, 0.250, 0.239)
O (0.253, 0.750, 0.739)
O (0.276, 0.750, 0.043)
O (0.374, 0.055, 0.424)
O (0.374, 0.445, 0.424)
O (0.377, 0.055, 0.858)
O (0.377, 0.445, 0.858)
O (0.454, 0.750, 0.640)
O (0.481, 0.750, 0.015)
O (0.490, 0.250, 0.664)
O (0.510, 0.750, 0.336)
O (0.519, 0.250, 0.985)
O (0.546, 0.250, 0.360)
O (0.623, 0.555, 0.142)
O (0.623, 0.945, 0.142)
O (0.626, 0.555, 0.576)
O (0.626, 0.945, 0.576)
O (0.724, 0.250, 0.957)
O (0.747, 0.250, 0.261)
O (0.753, 0.750, 0.761)
O (0.776, 0.750, 0.457)
O (0.874, 0.055, 0.076)
O (0.874, 0.445, 0.076)
O (0.877, 0.055, 0.642)
O (0.877, 0.445, 0.642)
O (0.954, 0.750, 0.860)
O (0.981, 0.750, 0.485)
O (0.990, 0.250, 0.836)